Entry 1:
First-principles (GGA-PBEsol) data for a geometry-optimized Fe3PbAu structure, as listed in Alexandria via LeMat-Bulk.

Summary:
size of the total moment = 9.380 μB/cell
calculated density = 9.14 g/cm³
calculated formation energy = 1226 meV/atom
volume = 103.9 Å³ per cell

Structure (CIF):
```
data_Fe3PbAu
_symmetry_space_group_name_H-M 'P 1'
_symmetry_Int_Tables_number 1
_symmetry_space_group_name_Hall 'P 1'
_cell_length_a 4.7010
_cell_length_b 4.7010
_cell_length_c 4.7010
_cell_angle_alpha 90.00
_cell_angle_beta 90.00
_cell_angle_gamma 90.00
loop_
_atom_site_label
_atom_site_fract_x
_atom_site_fract_y
_atom_site_fract_z
Pb1 0.5000 0.5000 0.5000
Fe1 0.0000 0.0000 0.5000
Fe2 0.5000 0.0000 0.0000
Fe3 0.0000 0.5000 0.0000
Au1 0.0000 0.0000 0.0000
```

Entry 2:
First-principles (GGA-PBEsol) data for a geometry-optimized FeSiTc2 structure, as listed in Alexandria via LeMat-Bulk.

Summary:
size of the total moment = 1.292 μB/cell
calculated density = 9.15 g/cm³
energy relative to the elements, uncorrected = -86 meV per atom
volume = 50.8 Å³ per cell

Structure (CIF):
```
data_FeSiTc2
_symmetry_space_group_name_H-M 'P 1'
_symmetry_Int_Tables_number 1
_symmetry_space_group_name_Hall 'P 1'
_cell_length_a 2.6938
_cell_length_b 2.6938
_cell_length_c 8.2284
_cell_angle_alpha 80.58
_cell_angle_beta 80.58
_cell_angle_gamma 60.00
loop_
_atom_site_label
_atom_site_fract_x
_atom_site_fract_y
_atom_site_fract_z
Tc1 0.7527 0.7527 0.7420
Tc2 0.9976 0.9976 0.0073
Fe1 0.5043 0.5043 0.4870
Si1 0.2454 0.2454 0.2637
```

Entry 3:
First-principles (GGA-PBEsol) data for a geometry-optimized BeSe3 structure, as listed in Alexandria via LeMat-Bulk.

Summary:
size of the total moment = 0.000 μB/cell
calculated density = 5.01 g/cm³
energy relative to the elements, uncorrected = 79 meV per atom
volume = 162.9 Å³ per cell

Structure (CIF):
```
data_BeSe3
_symmetry_space_group_name_H-M 'P 1'
_symmetry_Int_Tables_number 1
_symmetry_space_group_name_Hall 'P 1'
_cell_length_a 3.3825
_cell_length_b 6.1353
_cell_length_c 7.8498
_cell_angle_alpha 90.00
_cell_angle_beta 90.00
_cell_angle_gamma 90.00
loop_
_atom_site_label
_atom_site_fract_x
_atom_site_fract_y
_atom_site_fract_z
Se1 0.0000 0.8019 0.7100
Se2 0.5000 0.5177 0.0000
Se3 0.5000 0.1981 0.7900
Se4 0.5000 0.1981 0.2100
Se5 0.0000 0.4823 0.5000
Se6 0.0000 0.8019 0.2900
Be1 0.0000 0.2389 0.0000
Be2 0.5000 0.7611 0.5000
```

Entry 4:
First-principles (GGA-PBEsol) data for a geometry-optimized BaTcPt2 structure, as listed in Alexandria via LeMat-Bulk.

Summary:
size of the total moment = 0.331 μB/cell
calculated density = 13.41 g/cm³
calculated formation energy = 430 meV/atom
energy above the most stable polymorph in this dataset = 198 meV/atom
volume = 77.4 Å³ per cell

Structure (CIF):
```
data_BaTcPt2
_symmetry_space_group_name_H-M 'P 1'
_symmetry_Int_Tables_number 1
_symmetry_space_group_name_Hall 'P 1'
_cell_length_a 2.8977
_cell_length_b 5.1386
_cell_length_c 5.9795
_cell_angle_alpha 115.45
_cell_angle_beta 104.02
_cell_angle_gamma 90.00
loop_
_atom_site_label
_atom_site_fract_x
_atom_site_fract_y
_atom_site_fract_z
Pt1 0.2426 0.7426 0.4852
Pt2 0.9749 0.9749 0.9498
Tc1 0.5306 0.5306 0.0612
Ba1 0.7519 0.2519 0.5038
```